(1)
This record from the Alexandria database describes a relaxed structure of Pu12Pd2Rh5. The functional is PBE-GGA.

Fermi-level density of states: 2.22 states/eV per atom
DFT formation energy: -0.0082 eV per atom

a = 9.510 Å, b = 7.653 Å, c = 5.801 Å
α = 90.16°, β = 90.00°, γ = 128.41°
Element x y z (fractional)
Pu  0.851  0.702  0.100
Pu  0.033  0.491  0.807
Pu  0.459  0.491  0.807
Pu  0.156  0.781  0.496
Pu  0.625  0.781  0.496
Pu  0.426  0.851  0.645
Pu  0.574  0.149  0.355
Pu  0.844  0.219  0.504
Pu  0.375  0.219  0.504
Pu  0.967  0.509  0.193
Pu  0.541  0.509  0.193
Pu  0.149  0.298  0.900
Pd  0.747  0.000  0.000
Pd  0.253  0.000  0.000
Rh  0.217  0.434  0.402
Rh  0.380  0.760  0.097
Rh  0.000  0.000  0.500
Rh  0.620  0.240  0.903
Rh  0.783  0.566  0.598

***

(2)
This record from the Alexandria database describes a relaxed structure of Pu3Pd2Rh2. The functional is PBE-GGA.

Fermi-level density of states: 3.79 states/eV per atom
DFT formation energy: -0.3804 eV per atom

a = 7.239 Å, b = 7.239 Å, c = 7.239 Å
α = 109.47°, β = 109.47°, γ = 109.47°
Site moments in Bohr magnetons follow the coordinates.
Element x y z (fractional)
Pu  0.750  0.603  0.353  5.02
Pu  0.250  0.897  0.147  5.02
Pu  0.647  0.750  0.897  5.02
Pu  0.853  0.250  0.603  5.02
Pu  0.397  0.147  0.750  5.02
Pu  0.103  0.353  0.250  5.02
Pd  0.000  0.000  0.805  -0.04
Pd  0.500  0.805  0.500  -0.04
Pd  0.195  0.695  0.695  -0.04
Pd  0.305  0.500  0.000  -0.04
Rh  0.500  0.361  0.500  -0.36
Rh  0.000  0.000  0.361  -0.36
Rh  0.639  0.139  0.139  -0.36
Rh  0.861  0.500  0.000  -0.36

***

(3)
This record from the Alexandria database describes a relaxed structure of Pu4Pd2Rh. The functional is PBE-GGA.

Fermi-level density of states: 5.82 states/eV per atom
Polymorph energy (0 for the lowest one): 0.3210 eV per atom
DFT formation energy: -0.0155 eV per atom

a = 5.211 Å, b = 5.211 Å, c = 7.997 Å
α = 109.02°, β = 109.02°, γ = 90.00°
Site moments in Bohr magnetons follow the coordinates.
Element x y z (fractional)
Pu  0.803  0.803  0.605  5.55
Pu  0.197  0.197  0.395  5.55
Pu  0.000  0.500  0.000  5.20
Pu  0.500  0.000  0.000  5.20
Pd  0.610  0.610  0.220  -0.05
Pd  0.390  0.390  0.780  -0.05
Rh  0.000  0.000  0.000  -0.28

***

(4)
This record from the Alexandria database describes a relaxed structure of Pu2PdRh4. The functional is PBE-GGA.

Fermi-level density of states: 2.34 states/eV per atom
Polymorph energy (0 for the lowest one): 0.0000 eV per atom
DFT formation energy: -0.2921 eV per atom

a = 9.158 Å, b = 5.614 Å, c = 6.135 Å
α = 127.13°, β = 90.00°, γ = 90.00°
Site moments in Bohr magnetons follow the coordinates.
Element x y z (fractional)
Pu  0.990  0.653  0.351  4.89
Pu  0.010  0.347  0.649  4.89
Pu  0.490  0.847  0.649  4.89
Pu  0.510  0.153  0.351  4.89
Pd  0.000  0.000  0.000  -0.09
Pd  0.500  0.500  0.000  -0.09
Rh  0.774  0.767  0.153  -0.32
Rh  0.755  0.693  0.688  -0.32
Rh  0.745  0.193  0.688  -0.32
Rh  0.726  0.267  0.153  -0.32
Rh  0.274  0.733  0.847  -0.32
Rh  0.255  0.807  0.312  -0.32
Rh  0.245  0.307  0.312  -0.32
Rh  0.226  0.233  0.847  -0.32

***

(5)
This record from the Alexandria database describes a relaxed structure of Pu2Pd6Rh. The functional is PBE-GGA.

Fermi-level density of states: 2.49 states/eV per atom
DFT formation energy: -0.2958 eV per atom

a = 4.665 Å, b = 8.318 Å, c = 6.343 Å
α = 130.97°, β = 111.57°, γ = 90.00°
Site moments in Bohr magnetons follow the coordinates.
Element x y z (fractional)
Pu  0.687  0.687  0.373  4.92
Pu  0.313  0.313  0.627  4.92
Pd  0.161  0.471  0.321  -0.07
Pd  0.839  0.150  0.679  -0.07
Pd  0.839  0.529  0.679  -0.07
Pd  0.500  0.177  0.000  -0.09
Pd  0.161  0.850  0.321  -0.07
Pd  0.500  0.823  0.000  -0.09
Rh  0.000  0.000  0.000  -0.40

***

(6)
This record from the Alexandria database describes a relaxed structure of Pu2PdRh4. The functional is PBE-GGA.

Fermi-level density of states: 2.86 states/eV per atom
Polymorph energy (0 for the lowest one): 0.0245 eV per atom
DFT formation energy: -0.2676 eV per atom

a = 3.822 Å, b = 3.822 Å, c = 9.412 Å
α = 101.72°, β = 101.72°, γ = 90.00°
Site moments in Bohr magnetons follow the coordinates.
Element x y z (fractional)
Pu  0.603  0.603  0.206  4.96
Pu  0.397  0.397  0.794  4.96
Pd  0.000  0.000  0.000  -0.13
Rh  0.146  0.146  0.292  -0.52
Rh  0.854  0.854  0.708  -0.52
Rh  0.750  0.250  0.500  -0.61
Rh  0.250  0.750  0.500  -0.61

***

(7)
This record from the Alexandria database describes a relaxed structure of PuPdRh. The functional is PBE-GGA.

Fermi-level density of states: 2.90 states/eV per atom
Polymorph energy (0 for the lowest one): 0.1604 eV per atom
DFT formation energy: -0.2915 eV per atom

a = 3.139 Å, b = 4.572 Å, c = 4.572 Å
α = 120.00°, β = 90.00°, γ = 90.00°
Site moments in Bohr magnetons follow the coordinates.
Element x y z (fractional)
Rh  0.166  0.333  0.667  -0.38
Pd  0.167  0.000  0.000  -0.07
Pu  0.667  0.667  0.333  5.12

***

(8)
This record from the Alexandria database describes a relaxed structure of PuPdRuRh. The functional is PBE-GGA.

Fermi-level density of states: 1.41 states/eV per atom
DFT formation energy: -0.2143 eV per atom

a = 4.566 Å, b = 4.566 Å, c = 4.566 Å
α = 60.00°, β = 60.00°, γ = 60.00°
Site moments in Bohr magnetons follow the coordinates.
Element x y z (fractional)
Ru  0.250  0.250  0.250  -1.13
Rh  0.750  0.750  0.750  -0.48
Pd  0.500  0.500  0.500  -0.16
Pu  0.000  0.000  0.000  4.64